Ba3NiSe2O8: relaxed, PBE with a Hubbard U.

## Properties
Spin magnetization, μB/f.u.: 2.0
Final energy, eV per atom: -5.45
Space group: P-3m1

Lattice parameters (Å, degrees): 5.9185 5.9185 7.6636 90.00 90.00 120.00
Last column: nearest neighbours and their distance in Å.
Fractional coordinates of all 14 atoms:
Ba1 0.0000 0.0000 0.0000  6 O 2.99
Ba2 0.3333 0.6667 0.6399  1 O 2.55
Ba3 0.6667 0.3333 0.3601  1 O 2.55
Ni1 0.0000 0.0000 0.5000  6 O 2.14
Se1 0.3333 0.6667 0.2115  4 O 1.83-1.96
Se2 0.6667 0.3333 0.7885  4 O 1.83-1.96
O1 0.1620 0.3239 0.3240  1 Se 1.96, 1 Ni 2.14
O2 0.1620 0.8380 0.3240  1 Se 1.96, 1 Ni 2.14
O3 0.3239 0.1620 0.6760  1 Se 1.96, 1 Ni 2.14
O4 0.3333 0.6667 0.9722  1 Se 1.83
O5 0.6667 0.3333 0.0278  1 Se 1.83
O6 0.6761 0.8380 0.3240  1 Se 1.96, 1 Ni 2.14
O7 0.8380 0.1620 0.6760  1 Se 1.96, 1 Ni 2.14
O8 0.8380 0.6761 0.6760  1 Se 1.96, 1 Ni 2.14

BaNiSe2O8: relaxed, PBE with a Hubbard U.

## Properties
Spin magnetization, μB/f.u.: 1.9
Final energy, eV per atom: -5.48
Space group: R-3

Lattice parameters (Å, degrees): 8.2752 8.2752 8.2752 35.65 35.65 35.65
Last column: nearest neighbours and their distance in Å.
Fractional coordinates of all 12 atoms:
Ba1 0.0000 0.0000 0.0000  12 O 2.97-3.17
Ni1 0.5000 0.5000 0.5000  6 O 2.09
Se1 0.2397 0.2397 0.2397  4 O 1.68
Se2 0.7603 0.7603 0.7603  4 O 1.68
O1 0.1059 0.7649 0.4675  1 Se 1.68
O2 0.2351 0.5325 0.8941  1 Se 1.68
O3 0.3121 0.3121 0.3121  1 Se 1.68
O4 0.4675 0.1059 0.7649  1 Se 1.68
O5 0.5325 0.8941 0.2351  1 Se 1.68
O6 0.6879 0.6879 0.6879  1 Se 1.68
O7 0.7649 0.4675 0.1059  1 Se 1.68
O8 0.8941 0.2351 0.5325  1 Se 1.68

BaNiSeO4: relaxed, PBE with a Hubbard U.

## Properties
Spin magnetization, μB/f.u.: 2.0
Final energy, eV per atom: -4.77
Space group: F-43m

Lattice parameters (Å, degrees): 6.0925 6.0925 6.0925 60.00 60.00 60.00
Last column: nearest neighbours and their distance in Å.
Fractional coordinates of all 7 atoms:
Ba1 0.0000 0.0000 0.0000  12 O 3.57, 4 Ni 3.73
Ni1 0.2500 0.2500 0.2500  4 O 1.86
Se1 0.5000 0.5000 0.5000  4 O 1.87
O1 0.3746 0.3746 0.3746  1 Ni 1.86, 1 Se 1.87
O2 0.3746 0.3746 0.8761  1 Ni 1.86, 1 Se 1.87
O3 0.3746 0.8761 0.3746  1 Ni 1.86, 1 Se 1.87
O4 0.8761 0.3746 0.3746  1 Ni 1.86, 1 Se 1.87

Ba2SmNiO5: relaxed, PBE with a Hubbard U.

## Properties
Spin magnetization, μB/f.u.: 3.1
Final energy, eV per atom: -6.24
Space group: Cmc2_1

Lattice parameters (Å, degrees): 7.8645 7.8645 11.3695 90.00 90.00 153.59
Last column: nearest neighbours and their distance in Å.
Fractional coordinates of all 18 atoms:
Ba1 0.1116 0.8884 0.5000  6 O 2.73-3.01
Ba2 0.1359 0.8641 0.1565  6 O 2.71-2.85
Ba3 0.8641 0.1359 0.6565  6 O 2.71-2.85
Ba4 0.8884 0.1116 0.0000  6 O 2.73-3.01
Sm1 0.1960 0.8040 0.8553  5 O 2.22-2.44
Sm2 0.8040 0.1960 0.3553  5 O 2.22-2.44
Ni1 0.4544 0.5456 0.2503  4 O 1.80-1.97
Ni2 0.5456 0.4544 0.7503  4 O 1.80-1.97
O1 0.0324 0.9676 0.8198  2 Ni 1.97
O2 0.2954 0.7046 0.4850  2 Sm 2.33
O3 0.3314 0.6686 0.2151  1 Ni 1.93
O4 0.3399 0.6601 0.8317  1 Sm 2.22
O5 0.4945 0.5055 0.6075  1 Ni 1.80
O6 0.5055 0.4945 0.1075  1 Ni 1.80
O7 0.6601 0.3399 0.3317  1 Sm 2.22
O8 0.6686 0.3314 0.7151  1 Ni 1.93
O9 0.7046 0.2954 0.9850  2 Sm 2.33
O10 0.9676 0.0324 0.3198  2 Ni 1.97